Computed, not measured: an optimized crystal structure of Sm3Co2Cu4 at the PBE-GGA level of DFT.

abc: 4.1387 5.6336 8.5816
angles: 66.12 76.05 68.45
With the nearest neighbours (Å) after each atom.
Sites, in units of the cell vectors:
Sm 0.3260 0.6919 0.6561  4 Co 2.98-3.15, 8 Cu 3.01-3.18
Sm 0.0000 0.0000 0.0000  8 Cu 2.99-3.10, 4 Co 3.01
Sm 0.6740 0.3081 0.3439  4 Co 2.98-3.15, 8 Cu 3.01-3.18
Co 0.3934 0.9390 0.2742  3 Cu 2.38-2.39
Co 0.6066 0.0610 0.7258  3 Cu 2.38-2.39
Cu 0.2797 0.3814 0.0591  1 Co 2.38, 2 Cu 2.44
Cu 0.7203 0.6186 0.9409  1 Co 2.38, 2 Cu 2.44
Cu 0.0478 0.2842 0.6201  2 Co 2.39, 1 Cu 2.44
Cu 0.9522 0.7158 0.3799  2 Co 2.39, 1 Cu 2.44

Summary:
Total magnetization, Bohr magnetons per cell: 0.0
E_form, eV per atom: -0.1238
Mass density, g/cm³: 8.081
DFT total energy, eV per atom: -5.0965
Space group: C2/m, No. 12

---

Computed, not measured: an optimized crystal structure of Sm3CoCu2 at the PBE-GGA level of DFT.

abc: 4.0706 11.6456 11.4867
angles: 90.00 90.00 90.00
With the nearest neighbours (Å) after each atom.
Sites, in units of the cell vectors:
Sm 0.2500 0.3759 0.0485  1 Co 2.91, 5 Cu 3.00-3.12
Sm 0.7500 0.6241 0.9515  1 Co 2.91, 5 Cu 3.00-3.12
Sm 0.7500 0.8759 0.4515  1 Co 2.91, 5 Cu 3.00-3.12
Sm 0.2500 0.1241 0.5485  1 Co 2.91, 5 Cu 3.00-3.12
Sm 0.2500 0.7080 0.2279  2 Co 2.82, 4 Cu 2.97-3.08
Sm 0.7500 0.2920 0.7721  2 Co 2.82, 4 Cu 2.97-3.08
Sm 0.7500 0.2080 0.2721  2 Co 2.82, 4 Cu 2.97-3.08
Sm 0.2500 0.7920 0.7279  2 Co 2.82, 4 Cu 2.97-3.08
Sm 0.2500 0.4497 0.3799  3 Co 2.93-2.97, 5 Cu 3.00-3.04
Sm 0.7500 0.5503 0.6201  3 Co 2.93-2.97, 5 Cu 3.00-3.04
Sm 0.7500 0.9497 0.1201  3 Co 2.93-2.97, 5 Cu 3.00-3.04
Sm 0.2500 0.0503 0.8799  3 Co 2.93-2.97, 5 Cu 3.00-3.04
Co 0.2500 0.1357 0.1194  3 Cu 2.45-2.55
Co 0.7500 0.8643 0.8806  3 Cu 2.45-2.55
Co 0.7500 0.6357 0.3806  3 Cu 2.45-2.55
Co 0.2500 0.3643 0.6194  3 Cu 2.45-2.55
Cu 0.2500 0.6892 0.4857  2 Co 2.45
Cu 0.7500 0.3108 0.5143  2 Co 2.45
Cu 0.7500 0.1892 0.0143  2 Co 2.45
Cu 0.2500 0.8108 0.9857  2 Co 2.45
Cu 0.2500 0.0115 0.3019  1 Co 2.55
Cu 0.7500 0.9885 0.6981  1 Co 2.55
Cu 0.7500 0.5115 0.1981  1 Co 2.55
Cu 0.2500 0.4885 0.8019  1 Co 2.55

Summary:
Total magnetization, Bohr magnetons per cell: 0.0
E_form, eV per atom: -0.1540
Mass density, g/cm³: 7.771
DFT total energy, eV per atom: -5.0633
Space group: Pnma, No. 62